(1)
## Sc6InTe3As2 (GGA-PBE)

Data for a relaxed structure of Sc6InTe3As2.

## Properties
- Formation energy from raw total energies: -13.0 eV per formula unit
- Raw total energy: -0.2219 Ha/atom

Lattice parameters (Å, degrees): 17.7860 4.0023 8.2823 90.00 103.71 90.00
Space group C2/m (No. 12)
Asymmetric unit:
Sc 0.0094 0.0000 0.2538 [4 per cell]
Sc 0.1674 0.5000 0.1102 [4 per cell]
Sc 0.1756 0.5000 0.5663 [4 per cell]
In 0.0000 0.5000 0.0000 [2 per cell]
Te 0.0000 0.5000 0.5000 [2 per cell]
Te 0.1643 0.0000 0.8327 [4 per cell]
As 0.1681 0.0000 0.3374 [4 per cell]


(2)
## InAs2Se (GGA-PBE)

Data for a relaxed structure of InAs2Se.

## Properties
- Formation energy from raw total energies: 0.8 eV per formula unit
- Relative energy among the computed polymorphs: 328 meV/atom
- Raw total energy: -0.1356 Ha/atom

Lattice parameters (Å, degrees): 3.8112 3.8112 15.3480 90.00 90.00 90.00
Space group I4/mmm (No. 139)
Asymmetric unit:
In 0.0000 0.0000 0.0000 [2 per cell]
As 0.0000 0.5000 0.2500 [4 per cell]
Se 0.0000 0.0000 0.5000 [2 per cell]


(3)
## InAs2Se (GGA-PBE)

Data for a relaxed structure of InAs2Se.

## Properties
- Formation energy from raw total energies: 0.8 eV per formula unit
- Relative energy among the computed polymorphs: 329 meV/atom
- Raw total energy: -0.1356 Ha/atom

Lattice parameters (Å, degrees): 3.8165 3.8165 7.2220 90.00 90.00 90.00
Space group P4/mmm (No. 123)
Asymmetric unit:
In 0.0000 0.0000 0.0000 [1 per cell]
As 0.0000 0.5000 0.5000 [2 per cell]
Se 0.5000 0.5000 0.0000 [1 per cell]